[1]
{"formula": "HoScGa2Fe4", "functional": "PBE", "state": "optimized geometry", "e_tot_ev_per_cell": -51.6, "cell": [[-0.4460, 3.7949, 1.6688], [-2.3536, -1.1389, -3.2479], [-6.1239, -3.1582, 5.5451]], "species": ["Ho", "Fe", "Fe", "Fe", "Fe", "Ga", "Ga", "Sc"], "fractional_positions": [[0.3333, 0.6667, 0.0000], [0.3333, 0.6667, 0.3093], [0.0000, 0.0000, 0.2161], [0.0000, 0.0000, 0.7839], [0.3333, 0.6667, 0.6907], [0.6667, 0.3333, 0.7377], [0.6667, 0.3333, 0.2623], [0.0000, 0.0000, 0.5000]]}

***

[2]
{"formula": "TbHoGa2Fe4", "functional": "PBE", "state": "optimized geometry", "e_tot_ev_per_cell": -51.2, "cell": [[-2.9089, -1.9557, -1.7883], [-2.2276, -0.6795, 4.3666], [-3.4283, 5.8640, -0.8364]], "species": ["Fe", "Fe", "Fe", "Fe", "Tb", "Ga", "Ga", "Ho"], "fractional_positions": [[0.5000, 0.0000, 0.5959], [0.0000, 0.7494, 0.5007], [0.0000, 0.2506, 0.5007], [0.5000, 0.5000, 0.4058], [0.5000, 0.0000, 0.1846], [0.0000, 0.0000, 0.8316], [0.0000, 0.5000, 0.1676], [0.5000, 0.5000, 0.8130]]}

***

[3]
{"formula": "HoTmGa2Fe4", "functional": "PBE", "state": "optimized geometry", "de_polymorph_ev_per_fu": 0.00, "e_tot_ev_per_cell": -51.1, "cell": [[3.9293, 0.0000, 0.0000], [0.0000, 4.9286, 0.0000], [0.0000, 0.0000, 6.7883]], "species": ["Ho", "Fe", "Fe", "Fe", "Fe", "Ga", "Ga", "Tm"], "fractional_positions": [[0.0000, 0.0000, 0.8140], [0.5000, 0.2503, 0.4997], [0.5000, 0.7497, 0.4997], [0.0000, 0.0000, 0.4039], [0.0000, 0.5000, 0.5953], [0.5000, 0.0000, 0.1666], [0.5000, 0.5000, 0.8338], [0.0000, 0.5000, 0.1871]]}

***

[4]
{"formula": "HoTmGa2Fe4", "functional": "PBE", "state": "optimized geometry", "de_polymorph_ev_per_fu": 1.29, "e_tot_ev_per_cell": -49.8, "cell": [[4.1828, 0.0000, 0.0000], [-2.0914, 3.6224, 0.0000], [0.0000, 0.0000, 9.1671]], "species": ["Fe", "Fe", "Fe", "Fe", "Ga", "Ga", "Tm", "Ho"], "fractional_positions": [[0.0000, 0.0000, 0.7035], [0.6667, 0.3333, 0.2073], [0.0000, 0.0000, 0.2965], [0.6667, 0.3333, 0.7927], [0.3333, 0.6667, 0.7486], [0.3333, 0.6667, 0.2514], [0.6667, 0.3333, 0.5000], [0.0000, 0.0000, 0.0000]]}

***

[5]
{"formula": "YHoGa2Fe4", "functional": "PBE", "state": "optimized geometry", "e_tot_ev_per_cell": -51.7, "cell": [[4.1864, 0.0000, 0.0000], [-2.0932, 3.6255, 0.0000], [0.0000, 0.0000, 9.2832]], "species": ["Ho", "Fe", "Fe", "Fe", "Fe", "Ga", "Ga", "Y"], "fractional_positions": [[0.0000, 0.0000, 0.0000], [0.0000, 0.0000, 0.2899], [0.0000, 0.0000, 0.7101], [0.3333, 0.6667, 0.2049], [0.3333, 0.6667, 0.7951], [0.6667, 0.3333, 0.7508], [0.6667, 0.3333, 0.2492], [0.3333, 0.6667, 0.5000]]}

***

[6]
{"formula": "Ho2Zn3GaFe2", "functional": "PBE", "state": "optimized geometry", "e_tot_ev_per_cell": -34.2, "cell": [[4.8172, -2.0246, 0.0000], [4.8172, 2.0246, 0.0000], [-0.0460, 0.0000, 7.0885]], "species": ["Zn", "Zn", "Zn", "Ga", "Ho", "Ho", "Fe", "Fe"], "fractional_positions": [[0.6391, 0.6391, 0.0585], [0.3557, 0.3557, 0.5536], [0.6451, 0.6451, 0.4446], [0.3572, 0.3572, 0.9439], [0.9322, 0.9322, 0.2492], [0.0678, 0.0678, 0.7485], [0.7881, 0.7881, 0.7554], [0.2148, 0.2148, 0.2462]]}

***

[7]
{"formula": "InGaFe", "functional": "PBE", "state": "optimized geometry", "e_tot_ev_per_cell": -12.3, "cell": [[3.8106, 0.6088, 2.2155], [0.0879, -0.4096, 4.4299], [2.0632, -3.4691, 1.8730]], "species": ["Ga", "In", "Fe"], "fractional_positions": [[0.7500, 0.7500, 0.7500], [0.0000, 0.0000, 0.0000], [0.2500, 0.2500, 0.2500]]}

***

[8]
{"formula": "In2GaFe", "functional": "PBE", "state": "optimized geometry", "e_tot_ev_per_cell": -15.1, "cell": [[2.4386, 1.4079, 3.9823], [-2.4386, 1.4079, 3.9823], [0.0000, -2.8159, 3.9823]], "species": ["Ga", "In", "In", "Fe"], "fractional_positions": [[0.2500, 0.2500, 0.2500], [0.0000, 0.0000, 0.0000], [0.7500, 0.7500, 0.7500], [0.5000, 0.5000, 0.5000]]}

***

[9]
{"formula": "Ga2FeIr", "functional": "PBE", "state": "optimized geometry", "e_tot_ev_per_cell": -23.2, "cell": [[-1.7010, -1.7167, 3.5705], [-3.8484, -1.9372, -0.1616], [-0.2765, -4.2828, 0.4122]], "species": ["Fe", "Ga", "Ga", "Ir"], "fractional_positions": [[0.7500, 0.7500, 0.7500], [0.2500, 0.2500, 0.2500], [0.0000, 0.0000, 0.0000], [0.5000, 0.5000, 0.5000]]}

***

[10]
{"formula": "GaFeIr", "functional": "PBE", "state": "optimized geometry", "e_tot_ev_per_cell": -20.3, "cell": [[3.2132, -1.8197, 1.8252], [-0.5785, -2.3177, 3.3557], [0.4488, -4.0888, -0.2185]], "species": ["Ga", "Ir", "Fe"], "fractional_positions": [[0.7500, 0.7500, 0.7500], [0.0000, 0.0000, 0.0000], [0.2500, 0.2500, 0.2500]]}

***

[11]
{"formula": "LiGa2FeIr4", "functional": "PBE", "state": "optimized geometry", "e_tot_ev_per_cell": -54.3, "cell": [[-2.8482, 2.3919, -2.0499], [0.5750, -2.3224, -3.5088], [-4.3752, -3.7164, 1.7428]], "species": ["Ir", "Ir", "Ir", "Ir", "Li", "Ga", "Ga", "Fe"], "fractional_positions": [[0.5000, 0.0000, 0.7512], [0.5000, 0.0000, 0.2488], [0.0000, 0.5000, 0.2488], [0.0000, 0.5000, 0.7512], [0.5000, 0.5000, 0.5000], [0.0000, 0.0000, 0.5000], [0.5000, 0.5000, 0.0000], [0.0000, 0.0000, 0.0000]]}

***

[12]
{"formula": "Li2Zn2Ga2FeIr", "functional": "PBE", "state": "optimized geometry", "e_tot_ev_per_cell": -31.7, "cell": [[4.2162, 0.0000, 0.0000], [0.0000, 4.2162, 0.0000], [0.0000, 0.0000, 6.0344]], "species": ["Li", "Li", "Zn", "Zn", "Ga", "Ga", "Ir", "Fe"], "fractional_positions": [[0.5000, 0.5000, 0.0000], [0.0000, 0.0000, 0.5000], [0.5000, 0.0000, 0.7416], [0.0000, 0.5000, 0.2584], [0.0000, 0.5000, 0.7450], [0.5000, 0.0000, 0.2550], [0.0000, 0.0000, 0.0000], [0.5000, 0.5000, 0.5000]]}

***

[13]
{"formula": "Ga2FeNiIr4", "functional": "PBE", "state": "optimized geometry", "e_tot_ev_per_cell": -56.9, "cell": [[-3.3414, -0.9412, 2.4816], [1.6029, -3.8957, 0.6807], [2.9888, 2.0701, 4.8095]], "species": ["Ga", "Ga", "Ir", "Ir", "Ir", "Ir", "Ni", "Fe"], "fractional_positions": [[0.0000, 0.0000, 0.0000], [0.5000, 0.5000, 0.5000], [0.5000, 0.0000, 0.2498], [0.0000, 0.5000, 0.7502], [0.0000, 0.5000, 0.2498], [0.5000, 0.0000, 0.7502], [0.5000, 0.5000, 0.0000], [0.0000, 0.0000, 0.5000]]}

***

[14]
{"formula": "GaFeIrOs", "functional": "PBE", "state": "optimized geometry", "de_polymorph_ev_per_fu": 0.00, "e_tot_ev_per_cell": -30.7, "cell": [[0.0000, 3.0347, 3.0347], [3.0347, 0.0000, 3.0347], [3.0347, 3.0347, 0.0000]], "species": ["Ir", "Os", "Ga", "Fe"], "fractional_positions": [[0.2500, 0.2500, 0.2500], [0.5000, 0.5000, 0.5000], [0.0000, 0.0000, 0.0000], [0.7500, 0.7500, 0.7500]]}